Entry 1:
The following is a DFT calculation (PBE) of a geometry-optimized FeSi structure.

V: 10.991 Å³ per atom
Electronic total energy: -7.452 eV/atom
Formation energy without anion corrections: -1.0 eV per formula unit

Cell lengths 4.4468, 4.4468, 4.4468 Å; angles 90.00, 90.00, 90.00 degrees
Last column: nearest neighbours and their distance in Å.
Atoms (fractional coordinates):
Fe (0.1135, 0.3865, 0.6135)  7 Si 2.28-2.50
Fe (0.3865, 0.6135, 0.1135)  7 Si 2.28-2.50
Fe (0.6135, 0.1135, 0.3865)  7 Si 2.28-2.50
Fe (0.8865, 0.8865, 0.8865)  7 Si 2.28-2.50
Si (0.0910, 0.9090, 0.4090)  7 Fe 2.28-2.50
Si (0.4090, 0.0910, 0.9090)  7 Fe 2.28-2.50
Si (0.5910, 0.5910, 0.5910)  7 Fe 2.28-2.50
Si (0.9090, 0.4090, 0.0910)  7 Fe 2.28-2.50

---

Entry 2:
The following is a DFT calculation (PBE) of a geometry-optimized Li2CuP structure.

V: 13.072 Å³ per atom
Electronic total energy: -3.503 eV/atom
E_form: -0.1693 eV/atom

Cell lengths 2.5616, 3.8911, 5.2458 Å; angles 90.00, 90.00, 90.00 degrees
Last column: nearest neighbours and their distance in Å.
Atoms (fractional coordinates):
Li (0.0000, 0.0000, 0.0000)  6 Li 2.56-2.76, 2 P 2.57-2.68, 4 Cu 2.64
Li (0.5000, 0.5000, 0.2830)  2 Cu 2.52-2.72, 6 Li 2.56-2.76, 4 P 2.62
Cu (0.5000, 0.5000, 0.7636)  6 Li 2.52-2.72, 2 Cu 2.56, 4 P 2.68
P (0.0000, 0.0000, 0.5101)  2 P 2.56, 6 Li 2.57-2.68, 4 Cu 2.68

---

Entry 3:
The following is a DFT calculation (PBE) of a geometry-optimized Hf2MnReOs structure.

V: 22.825 Å³ per atom
Electronic total energy: -9.045 eV/atom
E_form: 1.5056 eV/atom

Cell lengths 4.9664, 4.9664, 4.6270 Å; angles 90.00, 90.00, 90.00 degrees
Last column: nearest neighbours and their distance in Å.
Atoms (fractional coordinates):
Hf (0.0000, 0.5000, 0.0000)  2 Re 2.48
Hf (0.5000, 0.0000, 0.0000)  2 Re 2.48
Mn (0.0000, 0.0000, 0.5000)  8 Hf 3.39, 4 Os 3.51
Re (0.5000, 0.5000, 0.0000)  2 Os 2.31, 4 Hf 2.48
Os (0.5000, 0.5000, 0.5000)  2 Re 2.31

---

Entry 4:
The following is a DFT calculation (PBE) of a geometry-optimized AlMo2Rh structure.

V: 14.982 Å³ per atom
Electronic total energy: -8.446 eV/atom
E_form: -0.2569 eV/atom

Cell lengths 2.7911, 2.7911, 7.6929 Å; angles 90.00, 90.00, 90.00 degrees
Last column: nearest neighbours and their distance in Å.
Atoms (fractional coordinates):
Al (0.0000, 0.0000, 0.0000)  4 Rh 2.58, 4 Mo 2.78, 4 Al 2.79
Mo (0.0000, 0.0000, 0.5399)  4 Rh 2.72, 8 Mo 2.79-2.95
Mo (0.5000, 0.5000, 0.2547)  4 Al 2.78, 8 Mo 2.79-2.95
Rh (0.5000, 0.5000, 0.7835)  4 Al 2.58, 4 Mo 2.72, 4 Rh 2.79

---

Entry 5:
The following is a DFT calculation (PBE) of a geometry-optimized Ce2CdOs structure.

Offset from the most stable computed form: 0.70 eV per formula unit
V: 25.766 Å³ per atom
Electronic total energy: -6.032 eV/atom
E_form: -0.0289 eV/atom

Cell lengths 5.6116, 9.0161, 8.1482 Å; angles 90.00, 90.00, 90.00 degrees
Last column: nearest neighbours and their distance in Å.
Atoms (fractional coordinates):
Ce (0.0000, 0.1229, 0.0000)  1 Os 2.54
Ce (0.0000, 0.8771, 0.5000)  1 Os 2.54
Ce (0.0012, 0.4342, 0.6912)  3 Os 2.80-2.89
Ce (0.4988, 0.9342, 0.1912)  3 Os 2.80-2.89
Ce (0.5000, 0.3771, 0.0000)  1 Os 2.54
Ce (0.5000, 0.6229, 0.5000)  1 Os 2.54
Ce (0.5012, 0.0658, 0.6912)  3 Os 2.80-2.89
Ce (0.9988, 0.5658, 0.1912)  3 Os 2.80-2.89
Cd (0.2485, 0.7511, 0.8585)  2 Cd 2.81, 2 Os 2.94-2.95
Cd (0.2515, 0.2511, 0.3585)  2 Cd 2.81, 2 Os 2.94-2.95
Cd (0.7485, 0.7489, 0.8585)  2 Cd 2.81, 2 Os 2.94-2.95
Cd (0.7515, 0.2489, 0.3585)  2 Cd 2.81, 2 Os 2.94-2.95
Os (0.0018, 0.1260, 0.6453)  2 Ce 2.54-2.80
Os (0.4982, 0.6260, 0.1453)  2 Ce 2.54-2.80
Os (0.5018, 0.3740, 0.6453)  2 Ce 2.54-2.80
Os (0.9982, 0.8740, 0.1453)  2 Ce 2.54-2.80

---

Entry 6:
The following is a DFT calculation (PBE) of a geometry-optimized Sm8NiRh3Br4 structure.

V: 27.729 Å³ per atom
Electronic total energy: -5.536 eV/atom
Formation energy without anion corrections: -16.3 eV per formula unit

Cell lengths 8.1339, 8.1339, 9.0576 Å; angles 116.71, 116.71, 60.03 degrees
Last column: nearest neighbours and their distance in Å.
Atoms (fractional coordinates):
Sm (0.2292, 0.2292, 0.6929)  1 Ni 2.76, 2 Rh 2.79
Sm (0.2291, 0.7351, 0.6929)  1 Ni 2.76, 2 Rh 2.79-2.80
Sm (0.2649, 0.7709, 0.3071)  1 Ni 2.76, 2 Rh 2.79-2.80
Sm (0.2674, 0.2674, 0.3027)  3 Rh 2.80
Sm (0.7326, 0.7326, 0.6973)  3 Rh 2.80
Sm (0.7351, 0.2291, 0.6929)  1 Ni 2.76, 2 Rh 2.79-2.80
Sm (0.7709, 0.2649, 0.3071)  1 Ni 2.76, 2 Rh 2.79-2.80
Sm (0.7708, 0.7708, 0.3071)  1 Ni 2.76, 2 Rh 2.79
Ni (0.0000, 0.0000, 0.5000)  6 Sm 2.76
Rh (0.0000, 0.5000, 0.5000)  6 Sm 2.79-2.80
Rh (0.5000, 0.0000, 0.5000)  6 Sm 2.79-2.80
Rh (0.5000, 0.5000, 0.5000)  6 Sm 2.80
Br (0.0000, 0.0000, 0.0000)  6 Sm 3.31-3.33
Br (0.0000, 0.5000, 0.0000)  6 Sm 3.32-3.33
Br (0.5000, 0.0000, 0.0000)  6 Sm 3.32-3.33
Br (0.5000, 0.5000, 0.0000)  6 Sm 3.36